1.
Hf2URu: relaxed, PBE.

Space-group type ... P4/mmm, No. 123
Energy ... -10.3204 eV per atom

Structure (POSCAR):
```
Hf2URu
1.0
3.182 0.000 0.000
0.000 3.182 0.000
0.000 0.000 7.915
Hf U Ru
2 1 1
Cartesian
0.000 0.000 1.644 Hf
0.000 0.000 6.271 Hf
1.591 1.591 3.957 U
1.591 1.591 0.000 Ru
```

2.
Cs12K3Au4: relaxed, PBE.

Space-group type ... Im-3, No. 204
Energy ... -1.5331 eV per atom

Structure (POSCAR):
```
Cs12K3Au4
1.0
-7.280 7.280 7.280
7.280 -7.280 7.280
7.280 7.280 -7.280
Cs K Au
12 3 4
Cartesian
7.280 3.653 -3.641 Cs
3.639 0.000 3.627 Cs
10.922 0.000 3.627 Cs
3.627 3.639 0.000 Cs
3.653 -3.641 7.280 Cs
0.000 3.627 3.639 Cs
7.280 3.653 3.641 Cs
3.627 10.922 0.000 Cs
3.653 3.641 7.280 Cs
-3.641 7.280 3.653 Cs
3.641 7.280 3.653 Cs
0.000 3.627 10.922 Cs
7.280 0.000 0.000 K
0.000 7.280 0.000 K
0.000 0.000 7.280 K
3.640 3.640 -3.640 Au
3.640 -3.640 3.640 Au
-3.640 3.640 3.640 Au
3.640 3.640 3.640 Au
```

3.
La2Dy4Ho5: relaxed, PBE.

Space-group type ... Immm, No. 71
Energy ... -4.4472 eV per atom

Structure (POSCAR):
```
La2Dy4Ho5
1.0
-1.740 5.771 9.211
1.740 -5.771 9.211
1.740 5.771 -9.211
La Dy Ho
2 4 5
Cartesian
0.000 0.000 3.728 La
0.000 0.000 14.694 La
0.000 3.172 0.000 Dy
0.000 0.000 7.548 Dy
0.000 0.000 10.874 Dy
0.000 8.371 0.000 Dy
1.740 0.000 0.000 Ho
1.740 -2.460 5.944 Ho
0.000 3.311 3.267 Ho
1.740 2.460 5.944 Ho
0.000 8.231 3.267 Ho
```